# 1
{
  "formula": "Ba2Ac3As3O2",
  "functional": "PBE-GGA",
  "state": "optimized geometry",
  "space_group": "I4/mmm",
  "lattice_angstrom": [[4.8038, 0.0000, 0.0000], [0.0000, 4.8038, 0.0000], [-2.4019, -2.4019, 13.0429]],
  "species": ["As", "Ac", "O", "Ba", "Ac", "O", "As", "Ac", "Ba", "As"],
  "frac_coords": [[0.0000, 0.0000, 0.0000], [0.8792, 0.8792, 0.7584], [0.7892, 0.7892, 0.5784], [0.7500, 0.2500, 0.5000], [0.5000, 0.5000, 0.0000], [0.2108, 0.2108, 0.4216], [0.6284, 0.6284, 0.2568], [0.1208, 0.1208, 0.2416], [0.2500, 0.7500, 0.5000], [0.3716, 0.3716, 0.7432]]
}

# 2
{
  "formula": "NdMg2UN4",
  "functional": "PBE-GGA",
  "state": "optimized geometry",
  "space_group": "P2/m",
  "lattice_angstrom": [[3.4595, 0.0000, 0.0000], [0.0000, 5.6379, 0.0638], [0.0000, 2.1577, 5.6646]],
  "species": ["Mg", "Mg", "Nd", "N", "N", "N", "N", "U"],
  "frac_coords": [[0.0000, 0.0000, 0.0000], [0.5000, 0.0000, 0.5000], [0.5000, 0.5000, 0.0000], [0.0000, 0.7356, 0.7142], [0.5000, 0.7506, 0.2632], [0.0000, 0.2644, 0.2858], [0.5000, 0.2494, 0.7368], [0.0000, 0.5000, 0.5000]]
}

What did we get for uncorrected formation energy? Answer: -1.83 -1.07 eV/atom, in the order shown.